NaPaF4 after structural relaxation. Source: the Alexandria database, functional PBE-GGA.

## Properties
Uncorrected formation energy   -1736 kJ/mol of formula units
VASP energy   -72.6 eV per cell

Cell lengths 4.3688, 4.3688, 12.8836 Å; angles 90.00, 90.00, 90.00 degrees
Space group I-4 (No. 82)
Unique sites:
Na: 0.0000 0.0000 0.0000
Pa: 0.0000 0.5000 0.2500
F: 0.2404 0.2419 0.1309